VASP calculation (PBE) on an optimized crystal structure of SnBP2Cl.

```
5
Lattice="5.106 0.000 0.000 0.000 5.106 0.000 0.000 0.000 5.243" Properties=species:S:1:pos:R:3 pbc="T T T"
Cl 0.000 0.000 2.621
P 0.000 2.553 0.000
P 2.553 0.000 0.000
B 2.553 2.553 2.621
Sn 0.000 0.000 0.000
```

Energy relative to the elements, uncorrected, eV/atom: 1.555
Final energy, eV per atom: -3.115


VASP calculation (PBE) on an optimized crystal structure of SrBPCl2.

```
5
Lattice="5.542 0.000 0.000 0.000 5.542 0.000 0.000 0.000 3.580" Properties=species:S:1:pos:R:3 pbc="T T T"
B 0.000 0.000 0.000
Cl 2.771 0.000 0.000
Cl 0.000 2.771 0.000
P 0.000 0.000 1.790
Sr 2.771 2.771 1.790
```

Energy relative to the elements, uncorrected, eV/atom: -0.419
Final energy, eV per atom: -3.912


VASP calculation (PBE) on an optimized crystal structure of SrBPCl2.

```
5
Lattice="-1.225 5.371 -0.641 -3.085 -1.233 -4.441 -4.986 -0.701 3.659" Properties=species:S:1:pos:R:3 pbc="T T T"
Cl -0.612 2.686 -0.320
Cl -1.543 -0.617 -2.220
Sr 0.000 0.000 0.000
P -2.493 -0.350 1.829
B -4.648 1.719 -0.711
```

Energy relative to the elements, uncorrected, eV/atom: 0.479
Final energy, eV per atom: -3.013